VASP calculation (GGA-PBE) on a relaxed CoRe2Cl crystal.

a b c (Å): 4.7129 4.7129 4.5558
angles (deg): 91.78 91.78 34.58
Closest atoms and distances in Å follow each position.
Positions (direct):
Re (0.9997, 0.9997, 0.9761)  2 Cl 2.37
Re (0.2776, 0.2776, 0.2181)  1 Cl 2.48, 2 Co 2.59, 3 Re 2.70
Co (0.7230, 0.7230, 0.7498)  1 Cl 2.17
Cl (0.4997, 0.4997, 0.5560)  1 Co 2.17, 2 Re 2.37

## Properties
The distance to the lowest polymorph of the same formula is 1.57 eV/f.u.

=====

VASP calculation (GGA-PBE) on a relaxed TlCd2Au crystal.

a b c (Å): 5.1155 5.1155 5.1155
angles (deg): 60.00 60.00 60.00
Closest atoms and distances in Å follow each position.
Positions (direct):
Tl (0.2500, 0.2500, 0.2500)  4 Cd 3.13, 4 Au 3.13
Au (0.5000, 0.5000, 0.5000)  4 Cd 3.13, 4 Tl 3.13
Cd (0.0000, 0.0000, 0.0000)  4 Cd 3.13, 4 Tl 3.13
Cd (0.7500, 0.7500, 0.7500)  4 Au 3.13, 4 Cd 3.13

## Properties
The distance to the lowest polymorph of the same formula is 0.59 eV/f.u. As for the formation energy: 0.056 eV/atom.

=====

VASP calculation (GGA-PBE) on a relaxed ScAsW2 crystal.

a b c (Å): 5.5299 5.5299 5.5299
angles (deg): 140.10 140.10 57.70
Closest atoms and distances in Å follow each position.
Positions (direct):
As (0.2500, 0.7500, 0.5000)  4 Sc 2.67
Sc (0.7500, 0.2500, 0.5000)  4 As 2.67
W (0.0000, 0.0000, 0.0000)  4 W 2.67
W (0.5000, 0.5000, 0.0000)  4 W 2.67

## Properties
As for the formation energy: 0.131 eV/atom.

=====

VASP calculation (GGA-PBE) on a relaxed La2Pm3S4 crystal.

a b c (Å): 4.0516 7.0361 9.1029
angles (deg): 74.48 77.14 73.27
Closest atoms and distances in Å follow each position.
Positions (direct):
La (0.6003, 0.1977, 0.6017)  4 S 2.87-2.91
La (0.3997, 0.8023, 0.3983)  4 S 2.87-2.91
Pm (0.0000, 0.0000, 0.0000)  6 S 2.87
Pm (0.2063, 0.3954, 0.1921)  5 S 2.79-2.87
Pm (0.7937, 0.6046, 0.8079)  5 S 2.79-2.87
S (0.7997, 0.1042, 0.2964)  3 Pm 2.83-2.87, 3 La 2.87-2.91
S (0.2003, 0.8958, 0.7036)  3 Pm 2.83-2.87, 3 La 2.87-2.91
S (0.3985, 0.3017, 0.9013)  5 Pm 2.79-2.87, 1 La 2.89
S (0.6015, 0.6983, 0.0987)  5 Pm 2.79-2.87, 1 La 2.89

=====

VASP calculation (GGA-PBE) on a relaxed BeCdB crystal.

a b c (Å): 3.0001 3.1675 8.4479
angles (deg): 87.11 88.86 72.53
Closest atoms and distances in Å follow each position.
Positions (direct):
Be (0.1480, 0.4190, 0.1165)  4 B 1.94-2.08, 1 Be 2.15
Be (0.8520, 0.5810, 0.8835)  4 B 1.94-2.08, 1 Be 2.15
B (0.7434, 0.0382, 0.0418)  2 B 1.64-1.72
B (0.2566, 0.9618, 0.9582)  2 B 1.64-1.72
Cd (0.7437, 0.0579, 0.3488)  1 B 2.60, 3 Be 2.65-2.87
Cd (0.2563, 0.9421, 0.6512)  1 B 2.60, 3 Be 2.65-2.87

## Properties
The distance to the lowest polymorph of the same formula is 0.28 eV/f.u. As for the formation energy: 0.199 eV/atom.

=====

VASP calculation (GGA-PBE) on a relaxed Na6SnPt2 crystal.

a b c (Å): 5.1479 5.1479 10.3133
angles (deg): 75.55 75.55 60.00
Closest atoms and distances in Å follow each position.
Positions (direct):
Na (0.5784, 0.5784, 0.2648)  3 Pt 2.97, 3 Na 3.29
Na (0.8106, 0.8106, 0.5681)  1 Pt 3.02, 4 Na 3.06-3.26
Na (0.7075, 0.7075, 0.8775)  4 Na 3.06-3.29, 3 Sn 3.21, 3 Pt 3.28
Na (0.1894, 0.1894, 0.4319)  1 Pt 3.02, 4 Na 3.06-3.26
Na (0.4216, 0.4216, 0.7352)  3 Pt 2.97, 3 Na 3.29
Na (0.2925, 0.2925, 0.1225)  4 Na 3.06-3.29, 3 Sn 3.21, 3 Pt 3.28
Sn (0.0000, 0.0000, 0.0000)  2 Pt 2.59
Pt (0.9125, 0.9125, 0.2624)  1 Sn 2.59
Pt (0.0875, 0.0875, 0.7376)  1 Sn 2.59

## Properties
As for the formation energy: -0.170 eV/atom.

=====

VASP calculation (GGA-PBE) on a relaxed Sm2MgH6Ru crystal.

a b c (Å): 6.7388 4.6968 4.6968
angles (deg): 120.00 90.00 90.00
Closest atoms and distances in Å follow each position.
Positions (direct):
Sm (0.2153, 0.3333, 0.6667)  6 H 2.40
Sm (0.7847, 0.6667, 0.3333)  6 H 2.40
Mg (0.5000, 0.0000, 0.0000)  6 H 2.77
H (0.8540, 0.1736, 0.3472)  1 Ru 1.72
H (0.8540, 0.1736, 0.8264)  1 Ru 1.72
H (0.8540, 0.6528, 0.8264)  1 Ru 1.72
H (0.1460, 0.8264, 0.1736)  1 Ru 1.72
H (0.1460, 0.3472, 0.1736)  1 Ru 1.72
H (0.1460, 0.8264, 0.6528)  1 Ru 1.72
Ru (0.0000, 0.0000, 0.0000)  6 H 1.72

=====

VASP calculation (GGA-PBE) on a relaxed Fe7PdRh3 crystal.

a b c (Å): 2.6494 9.7905 12.0061
angles (deg): 90.00 90.00 97.78
Closest atoms and distances in Å follow each position.
Positions (direct):
Fe (0.3833, 0.7666, 0.7500)  4 Fe 2.57-2.65, 4 Rh 2.63
Fe (0.6167, 0.2334, 0.2500)  4 Fe 2.57-2.65, 4 Rh 2.63
Fe (0.5342, 0.0685, 0.4174)  6 Fe 2.39-2.65, 2 Rh 2.60, 2 Pd 2.62
Fe (0.4658, 0.9315, 0.5826)  6 Fe 2.39-2.65, 2 Rh 2.60, 2 Pd 2.62
Fe (0.4658, 0.9315, 0.9174)  6 Fe 2.39-2.65, 2 Rh 2.60, 2 Pd 2.62
Fe (0.5342, 0.0685, 0.0826)  6 Fe 2.39-2.65, 2 Rh 2.60, 2 Pd 2.62
Fe (0.4037, 0.8073, 0.3992)  5 Fe 2.50-2.65, 4 Rh 2.63-2.65, 2 Pd 2.69
Fe (0.5963, 0.1927, 0.6008)  5 Fe 2.50-2.65, 4 Rh 2.63-2.65, 2 Pd 2.69
Fe (0.2751, 0.5503, 0.4124)  5 Rh 2.45-2.72, 5 Fe 2.50-2.67
Fe (0.7249, 0.4497, 0.5876)  5 Rh 2.45-2.72, 5 Fe 2.50-2.67
Fe (0.7249, 0.4497, 0.9124)  5 Rh 2.45-2.72, 5 Fe 2.50-2.67
Fe (0.2751, 0.5503, 0.0876)  5 Rh 2.45-2.72, 5 Fe 2.50-2.67
Fe (0.4037, 0.8073, 0.1008)  5 Fe 2.50-2.65, 4 Rh 2.63-2.65, 2 Pd 2.69
Fe (0.5963, 0.1927, 0.8992)  5 Fe 2.50-2.65, 4 Rh 2.63-2.65, 2 Pd 2.69
Pd (0.9812, 0.9625, 0.2500)  8 Fe 2.62-2.69, 2 Pd 2.65
Pd (0.0188, 0.0375, 0.7500)  8 Fe 2.62-2.69, 2 Pd 2.65
Rh (0.1494, 0.2987, 0.4316)  9 Fe 2.45-2.72, 2 Rh 2.65
Rh (0.8506, 0.7013, 0.5684)  9 Fe 2.45-2.72, 2 Rh 2.65
Rh (0.1700, 0.3401, 0.7500)  8 Fe 2.59-2.65, 2 Rh 2.65
Rh (0.8300, 0.6599, 0.2500)  8 Fe 2.59-2.65, 2 Rh 2.65
Rh (0.1494, 0.2987, 0.0684)  9 Fe 2.45-2.72, 2 Rh 2.65
Rh (0.8506, 0.7013, 0.9316)  9 Fe 2.45-2.72, 2 Rh 2.65

## Properties
As for the formation energy: 0.218 eV/atom.

=====

| no. | magnetization (Bohr magnetons per cell) | calculated total energy (eV per atom) |
| --- | --- | --- |
| 1 | 0.53 | -7.701 |
| 2 | 0.00 | -1.813 |
| 3 | 0.00 | -9.091 |
| 4 | 0.00 | -6.328 |
| 5 | 0.00 | -3.574 |
| 6 | 0.00 | -2.837 |
| 7 | 0.00 | -4.418 |
| 8 | 43.47 | -7.644 |